Record 1
Below is crystalline Pb3Br2 at its relaxed geometry, with properties calculated at the PBE level.

Values from the calculation:
- VASP energy (eV/atom) = -3.198
- polymorph energy (0 for the lowest one) (meV per atom) = 38

Cell lengths 4.6905, 4.6905, 11.1498 Å; angles 90.00, 90.00, 120.00 degrees
Space group P-3m1 (No. 164)
Inequivalent atoms, fractional coordinates:
Pb 0.0000 0.0000 0.0000 [1 per cell]
Pb 0.3333 0.6667 0.4461 [2 per cell]
Br 0.3333 0.6667 0.8608 [2 per cell]

---

Record 2
Below is crystalline Pb7Br6 at its relaxed geometry, with properties calculated at the PBE level.

Values from the calculation:
- VASP energy (eV/atom) = -3.126

Cell lengths 6.8721, 6.8721, 33.8004 Å; angles 90.00, 90.00, 120.00 degrees
Space group R-3m (No. 166, hexagonal axes)
Inequivalent atoms, fractional coordinates:
Pb 0.0000 0.0000 0.0000 [3 per cell]
Pb 0.0046 0.5023 0.4144 [18 per cell]
Br 0.0000 0.0000 0.1501 [6 per cell]
Br 0.0000 0.0000 0.3219 [6 per cell]
Br 0.0000 0.0000 0.4296 [6 per cell]

---

Record 3
Below is crystalline PbBr3 at its relaxed geometry, with properties calculated at the PBE level.

Values from the calculation:
- VASP energy (eV/atom) = -2.517

Cell lengths 5.336, 5.346, 9.473 Å; angles 90.00, 90.00, 90.00 degrees
Space group Cmmm (No. 65)
Inequivalent atoms, fractional coordinates:
Pb 0.000 0.000 0.000 [2 per cell]
Br 0.000 0.000 0.500 [2 per cell]
Br 0.000 0.500 0.186 [4 per cell]

---

Record 4
Below is crystalline PbBr3 at its relaxed geometry, with properties calculated at the PBE level.

Values from the calculation:
- VASP energy (eV/atom) = -2.623

Cell lengths 6.086, 6.086, 6.086 Å; angles 90.00, 90.00, 90.00 degrees
Space group Pm-3n (No. 223)
Inequivalent atoms, fractional coordinates:
Pb 0.000 0.000 0.000 [2 per cell]
Br 0.000 0.250 0.500 [6 per cell]

---

Record 5
Below is crystalline PbBr3 at its relaxed geometry, with properties calculated at the PBE level.

Values from the calculation:
- VASP energy (eV/atom) = -2.651

Cell lengths 5.729, 5.729, 5.729 Å; angles 90.00, 90.00, 90.00 degrees
Space group Pm-3m (No. 221)
Inequivalent atoms, fractional coordinates:
Pb 0.000 0.000 0.000 [1 per cell]
Br 0.000 0.000 0.500 [3 per cell]

---

Record 6
Below is crystalline PbBr3 at its relaxed geometry, with properties calculated at the PBE level.

Values from the calculation:
- VASP energy (eV/atom) = -2.661

Cell lengths 7.343, 11.910, 6.514 Å; angles 90.00, 90.00, 90.00 degrees
Space group Pnma (No. 62)
Inequivalent atoms, fractional coordinates:
Pb 0.155 0.250 0.077 [4 per cell]
Br 0.000 0.250 0.672 [4 per cell]
Br 0.121 0.585 0.811 [8 per cell]

---

Record 7
Below is crystalline Pb3Br2 at its relaxed geometry, with properties calculated at the PBE level.

Values from the calculation:
- VASP energy (eV/atom) = -3.236
- polymorph energy (0 for the lowest one) (meV per atom) = 0

Cell lengths 3.9791, 3.9791, 40.0023 Å; angles 90.00, 90.00, 120.00 degrees
Space group R-3m (No. 166, hexagonal axes)
Inequivalent atoms, fractional coordinates:
Pb 0.0000 0.0000 0.0000 [3 per cell]
Pb 0.0000 0.0000 0.1977 [6 per cell]
Br 0.0000 0.0000 0.3826 [6 per cell]

---

Record 8
Below is crystalline PbBr8 at its relaxed geometry, with properties calculated at the PBE level.

Values from the calculation:
- VASP energy (eV/atom) = -1.796

Cell lengths 12.989, 12.989, 4.347 Å; angles 90.00, 90.00, 90.00 degrees
Space group I4/mmm (No. 139)
Inequivalent atoms, fractional coordinates:
Pb 0.000 0.000 0.000 [2 per cell]
Br 0.000 0.231 0.000 [8 per cell]
Br 0.150 0.150 0.500 [8 per cell]

---

Number 3 is which compound? PbBr3

---

Please write out number 7 again, unchanged.
Below is crystalline Pb3Br2 at its relaxed geometry, with properties calculated at the PBE level.

Values from the calculation:
- VASP energy (eV/atom) = -3.236
- polymorph energy (0 for the lowest one) (meV per atom) = 0

Cell lengths 3.9791, 3.9791, 40.0023 Å; angles 90.00, 90.00, 120.00 degrees
Space group R-3m (No. 166, hexagonal axes)
Inequivalent atoms, fractional coordinates:
Pb 0.0000 0.0000 0.0000 [3 per cell]
Pb 0.0000 0.0000 0.1977 [6 per cell]
Br 0.0000 0.0000 0.3826 [6 per cell]

---

Look up the VASP energy of the fourth one. -2.623 eV/atom

---

Which value of VASP energy does entry 1 give? -3.198 eV/atom